Below is a relaxed Th8ReGe3Te4 crystal, with properties calculated at the PBE-GGA level.

```
Th8ReGe3Te4
1.0
4.357 2.516 7.372
-4.357 2.516 7.372
0.000 -5.031 7.372
Th Re Ge Te
8 1 3 4
direct
0.240 0.240 0.240
0.253 0.729 0.729
0.271 0.271 0.747
0.271 0.747 0.271
0.729 0.253 0.729
0.729 0.729 0.253
0.747 0.271 0.271
0.760 0.760 0.760
0.500 0.500 0.500
0.000 0.000 0.500
0.000 0.500 0.000
0.500 0.000 0.000
0.000 0.000 0.000
0.000 0.500 0.500
0.500 0.000 0.500
0.500 0.500 0.000
```

Output
SG	R-3m, No. 166

Below is a relaxed LiPd7Pb2 crystal, with properties calculated at the PBE-GGA level.

```
LiPd7Pb2
1.0
3.771 -8.442 0.000
3.771 8.442 0.000
0.000 0.000 2.977
Li Pd Pb
1 7 2
direct
0.000 0.000 0.000
0.107 0.277 0.500
0.193 0.807 0.000
0.277 0.107 0.500
0.500 0.500 0.500
0.723 0.893 0.500
0.807 0.193 0.000
0.893 0.723 0.500
0.330 0.670 0.500
0.670 0.330 0.500
```

Output
SG	Cmmm, No. 65
calculated formation energy	0.022	eV per atom

Below is a relaxed TbPmTlAg crystal, with properties calculated at the PBE-GGA level.

```
TbPmTlAg
1.0
0.000 3.777 3.777
3.777 0.000 3.777
3.777 3.777 0.000
Tb Pm Tl Ag
1 1 1 1
direct
0.000 0.000 0.000
0.500 0.500 0.500
0.250 0.250 0.250
0.750 0.750 0.750
```

Output
SG	F-43m, No. 216
calculated formation energy	-0.329	eV per atom
polymorph energy (0 for the lowest one)	0.003	eV per atom

Below is a relaxed Er2Ni2Ag crystal, with properties calculated at the PBE-GGA level.

```
Er2Ni2Ag
1.0
1.962 -6.891 0.000
1.962 6.891 0.000
0.000 0.000 3.570
Er Ni Ag
2 2 1
direct
0.135 0.865 0.000
0.865 0.135 0.000
0.301 0.699 0.500
0.699 0.301 0.500
0.500 0.500 0.500
```

Output
SG	Cmmm, No. 65
calculated formation energy	-0.442	eV per atom
polymorph energy (0 for the lowest one)	0.000	eV per atom

Below is a relaxed Mg2Al2Pd3 crystal, with properties calculated at the PBE-GGA level.

```
Mg2Al2Pd3
1.0
4.416 0.000 0.000
2.193 3.837 0.000
2.188 1.279 6.908
Mg Al Pd
2 2 3
direct
0.119 0.118 0.145
0.881 0.882 0.855
0.373 0.372 0.382
0.627 0.628 0.618
0.252 0.253 0.742
0.500 0.500 0.000
0.748 0.747 0.258
```

Output
SG	P-1, No. 2
calculated formation energy	-0.718	eV per atom

Below is a relaxed GdScO3 crystal, with properties calculated at the PBE-GGA level.

```
GdScO3
1.0
5.787 0.000 0.000
0.000 8.019 0.000
0.000 0.000 5.520
Gd Sc O
4 4 12
direct
0.060 0.250 0.018
0.440 0.750 0.518
0.560 0.250 0.482
0.940 0.750 0.982
0.000 0.000 0.500
0.000 0.500 0.500
0.500 0.000 0.000
0.500 0.500 0.000
0.052 0.750 0.376
0.196 0.565 0.806
0.196 0.935 0.806
0.304 0.065 0.306
0.304 0.435 0.306
0.448 0.250 0.876
0.552 0.750 0.124
0.696 0.565 0.694
0.696 0.935 0.694
0.804 0.065 0.194
0.804 0.435 0.194
0.948 0.250 0.624
```

Output
SG	Pnma, No. 62

Below is a relaxed TaCdRu2 crystal, with properties calculated at the PBE-GGA level.

```
TaCdRu2
1.0
3.168 0.000 0.000
0.000 3.168 0.000
0.000 0.000 6.572
Ta Cd Ru
1 1 2
direct
0.000 0.000 0.000
0.000 0.000 0.500
0.500 0.500 0.227
0.500 0.500 0.773
```

Output
SG	P4/mmm, No. 123
calculated formation energy	-0.163	eV per atom

Below is a relaxed MgIrAu crystal, with properties calculated at the PBE-GGA level.

```
MgIrAu
1.0
0.000 2.381 6.857
1.510 0.000 6.857
1.510 2.381 0.000
Mg Ir Au
1 1 1
direct
0.000 0.000 0.000
0.347 0.347 0.653
0.667 0.667 0.333
```

Output
SG	Fmm2, No. 42
calculated formation energy	-0.039	eV per atom
polymorph energy (0 for the lowest one)	0.106	eV per atom

| no. | electronic total energy (eV per atom) |
| --- | --- |
| 1 | -7.031 |
| 2 | -4.546 |
| 3 | -3.978 |
| 4 | -5.150 |
| 5 | -4.469 |
| 6 | -10.558 |
| 7 | -7.993 |
| 8 | -4.617 |